No. 1
First-principles (PBE-GGA) data for crystalline YPuGe4 at its relaxed geometry, as listed in Alexandria via LeMat-Bulk.

Results
DFT formation energy (meV per atom): -492
Symmetry: Cmcm

Cell lengths 4.271, 6.061, 10.021 Å; angles 90.00, 102.31, 90.00 degrees
Last column: magnetic moment on the atom in μB.
Fractional coordinates of all 12 atoms:
Y (0.726, 0.250, 0.452)  -0.05
Y (0.274, 0.750, 0.548)  -0.05
Pu (0.424, 0.250, 0.848)  5.03
Pu (0.576, 0.750, 0.152)  5.03
Ge (0.000, 0.000, 0.000)  -0.04
Ge (0.000, 0.500, 0.000)  -0.04
Ge (0.149, 0.016, 0.299)  -0.02
Ge (0.851, 0.516, 0.701)  -0.02
Ge (0.149, 0.484, 0.299)  -0.02
Ge (0.851, 0.984, 0.701)  -0.02
Ge (0.575, 0.250, 0.150)  0.00
Ge (0.425, 0.750, 0.850)  0.00

=====

No. 2
First-principles (PBE-GGA) data for crystalline YPu2Ge at its relaxed geometry, as listed in Alexandria via LeMat-Bulk.

Results
DFT formation energy (meV per atom): -280
Symmetry: P4/mmm

Cell lengths 5.034, 4.393, 4.393 Å; angles 90.00, 90.00, 90.00 degrees
Last column: magnetic moment on the atom in μB.
Fractional coordinates of all 4 atoms:
Y (0.500, 0.000, 0.000)  0.21
Ge (0.500, 0.500, 0.500)  -0.11
Pu (0.000, 0.000, 0.500)  5.64
Pu (0.000, 0.500, 0.000)  5.64

=====

No. 3
First-principles (PBE-GGA) data for crystalline YPu4Ge3 at its relaxed geometry, as listed in Alexandria via LeMat-Bulk.

Results
DFT formation energy (meV per atom): -454
Symmetry: I4/mcm

Cell lengths 7.901, 7.901, 8.314 Å; angles 118.37, 118.37, 90.00 degrees
Last column: magnetic moment on the atom in μB.
Fractional coordinates of all 16 atoms:
Y (0.000, 0.000, 0.000)  0.10
Y (0.500, 0.500, 0.000)  0.10
Ge (0.750, 0.750, 0.500)  -0.16
Ge (0.250, 0.250, 0.500)  -0.16
Ge (0.851, 0.351, 0.000)  -0.11
Ge (0.149, 0.649, 0.000)  -0.11
Ge (0.649, 0.851, 0.000)  -0.11
Ge (0.351, 0.149, 0.000)  -0.11
Pu (0.497, 0.997, 0.688)  5.47
Pu (0.191, 0.691, 0.688)  5.47
Pu (0.691, 0.497, 0.688)  5.47
Pu (0.997, 0.191, 0.688)  5.47
Pu (0.503, 0.003, 0.312)  5.47
Pu (0.809, 0.309, 0.312)  5.47
Pu (0.309, 0.503, 0.312)  5.47
Pu (0.003, 0.809, 0.312)  5.47

=====

No. 4
First-principles (PBE-GGA) data for crystalline YPuGe at its relaxed geometry, as listed in Alexandria via LeMat-Bulk.

Results
DFT formation energy (meV per atom): -305
Symmetry: I4mm

Cell lengths 3.798, 3.798, 5.824 Å; angles 109.03, 109.03, 90.00 degrees
Last column: magnetic moment on the atom in μB.
Fractional coordinates of all 3 atoms:
Y (0.258, 0.258, 0.516)  -0.34
Ge (0.622, 0.622, 0.243)  0.08
Pu (0.971, 0.971, 0.941)  -5.63

=====

No. 5
First-principles (PBE-GGA) data for crystalline Y2Pu3Ge4 at its relaxed geometry, as listed in Alexandria via LeMat-Bulk.

Results
DFT formation energy (meV per atom): -554
Symmetry: P2_1/c

Cell lengths 7.572, 7.799, 7.801 Å; angles 90.00, 90.00, 110.84 degrees
Last column: magnetic moment on the atom in μB.
Fractional coordinates of all 18 atoms:
Y (0.562, 0.191, 0.317)  -0.01
Y (0.938, 0.809, 0.817)  -0.01
Y (0.438, 0.809, 0.683)  -0.01
Y (0.062, 0.191, 0.183)  -0.01
Pu (0.000, 0.500, 0.500)  -5.09
Pu (0.500, 0.500, 0.000)  -5.09
Pu (0.715, 0.244, 0.835)  5.18
Pu (0.785, 0.756, 0.335)  5.18
Pu (0.285, 0.756, 0.165)  5.18
Pu (0.215, 0.244, 0.665)  5.18
Ge (0.821, 0.079, 0.538)  -0.02
Ge (0.679, 0.921, 0.038)  -0.02
Ge (0.179, 0.921, 0.462)  -0.02
Ge (0.321, 0.079, 0.962)  -0.02
Ge (0.878, 0.488, 0.127)  0.00
Ge (0.622, 0.512, 0.627)  0.00
Ge (0.122, 0.512, 0.873)  0.00
Ge (0.378, 0.488, 0.373)  0.00

=====

No. 6
First-principles (PBE-GGA) data for crystalline YPuGe at its relaxed geometry, as listed in Alexandria via LeMat-Bulk.

Results
DFT formation energy (meV per atom): -366
Symmetry: Cmcm

Cell lengths 4.219, 4.780, 7.601 Å; angles 90.00, 106.13, 90.00 degrees
Last column: magnetic moment on the atom in μB.
Fractional coordinates of all 6 atoms:
Y (0.687, 0.025, 0.060)  0.08
Y (0.173, 0.525, 0.033)  0.08
Pu (0.872, 0.525, 0.430)  5.43
Pu (0.989, 0.025, 0.663)  5.43
Ge (0.533, 0.526, 0.753)  -0.10
Ge (0.327, 0.026, 0.340)  -0.10

=====

No. 7
First-principles (PBE-GGA) data for crystalline YPu2Ge2 at its relaxed geometry, as listed in Alexandria via LeMat-Bulk.

Results
DFT formation energy (meV per atom): -343
Symmetry: Pmmn

Cell lengths 3.616, 4.346, 14.181 Å; angles 72.16, 90.00, 90.00 degrees
Last column: magnetic moment on the atom in μB.
Fractional coordinates of all 10 atoms:
Y (0.250, 0.937, 0.250)  -0.01
Y (0.750, 0.063, 0.750)  -0.01
Pu (0.250, 0.838, 0.989)  1.73
Pu (0.750, 0.162, 0.011)  1.73
Pu (0.250, 0.316, 0.511)  1.74
Pu (0.750, 0.684, 0.489)  1.74
Ge (0.250, 0.664, 0.655)  -0.01
Ge (0.750, 0.336, 0.345)  -0.01
Ge (0.250, 0.474, 0.845)  -0.01
Ge (0.750, 0.526, 0.155)  -0.01

=====

No. 8
First-principles (PBE-GGA) data for crystalline YPuGe at its relaxed geometry, as listed in Alexandria via LeMat-Bulk.

Results
DFT formation energy (meV per atom): -166
Symmetry: C2/m

Cell lengths 3.880, 5.905, 6.513 Å; angles 104.89, 90.00, 109.18 degrees
Last column: magnetic moment on the atom in μB.
Fractional coordinates of all 6 atoms:
Y (0.526, 0.052, 0.768)  -0.01
Y (0.474, 0.948, 0.232)  -0.01
Ge (0.831, 0.661, 0.912)  -0.02
Ge (0.169, 0.339, 0.088)  -0.02
Pu (0.217, 0.433, 0.570)  1.34
Pu (0.783, 0.567, 0.430)  1.34

=====

No. 9
First-principles (PBE-GGA) data for crystalline YPu2Ge at its relaxed geometry, as listed in Alexandria via LeMat-Bulk.

Results
DFT formation energy (meV per atom): 41
Symmetry: R-3m

Cell lengths 3.497, 3.497, 10.586 Å; angles 80.49, 80.49, 60.00 degrees
Last column: magnetic moment on the atom in μB.
Fractional coordinates of all 4 atoms:
Y (0.500, 0.500, 0.500)  0.11
Ge (0.000, 0.000, 0.000)  -0.03
Pu (0.263, 0.263, 0.211)  5.46
Pu (0.737, 0.737, 0.789)  5.46

=====

No. 10
First-principles (PBE-GGA) data for crystalline YPuGe at its relaxed geometry, as listed in Alexandria via LeMat-Bulk.

Results
DFT formation energy (meV per atom): -222
Symmetry: P3m1

Cell lengths 3.645, 4.895, 4.895 Å; angles 120.00, 90.00, 90.00 degrees
Last column: magnetic moment on the atom in μB.
Fractional coordinates of all 3 atoms:
Y (0.730, 0.667, 0.333)  0.24
Ge (0.985, 0.000, 0.000)  -0.06
Pu (0.285, 0.333, 0.667)  5.54

=====

No. 11
First-principles (PBE-GGA) data for crystalline YPu2Zn2Ge2 at its relaxed geometry, as listed in Alexandria via LeMat-Bulk.

Results
DFT formation energy (meV per atom): -221
Symmetry: R-3m

Cell lengths 4.075, 4.075, 9.346 Å; angles 77.41, 77.41, 60.00 degrees
Fractional coordinates of all 7 atoms:
Y (0.000, 0.000, 0.000)
Pu (0.152, 0.152, 0.544)
Pu (0.848, 0.848, 0.456)
Zn (0.586, 0.586, 0.243)
Zn (0.414, 0.414, 0.757)
Ge (0.736, 0.736, 0.791)
Ge (0.264, 0.264, 0.209)

=====

No. 12
First-principles (PBE-GGA) data for crystalline YPuZnGe at its relaxed geometry, as listed in Alexandria via LeMat-Bulk.

Results
DFT formation energy (meV per atom): -385
Symmetry: F-43m

Cell lengths 5.047, 5.047, 5.047 Å; angles 60.00, 60.00, 60.00 degrees
Last column: magnetic moment on the atom in μB.
Fractional coordinates of all 4 atoms:
Y (0.500, 0.500, 0.500)  0.23
Ge (0.250, 0.250, 0.250)  -0.05
Zn (0.750, 0.750, 0.750)  0.05
Pu (0.000, 0.000, 0.000)  5.42